Record 1
4
Lattice="2.783 0.000 0.000 0.000 2.783 0.000 0.000 0.000 7.394" Properties=species:S:1:pos:R:3 comment="TaNiRu2 | Alexandria via LeMat-Bulk | PBE | optimized geometry" total_magnetization_mub_per_atom=0.0000 pbc="T T T"
Ta 0.000 0.000 0.000
Ni 0.000 0.000 3.697
Ru 1.391 1.391 2.022
Ru 1.391 1.391 5.372

---

Record 2
4
Lattice="1.416 0.818 8.933 -1.416 0.818 8.933 0.000 -1.636 8.933" Properties=species:S:1:pos:R:3 comment="Ta2NiRu | Alexandria via LeMat-Bulk | PBE | optimized geometry" total_magnetization_mub_per_atom=0.0000 pbc="T T T"
Ta 0.000 0.000 6.636
Ta 0.000 0.000 20.162
Ni 0.000 0.000 13.399
Ru 0.000 0.000 0.000

---

Record 3
5
Lattice="4.369 0.000 0.000 0.000 4.369 0.000 0.000 0.000 4.369" Properties=species:S:1:pos:R:3 comment="TaNiRu3 | Alexandria via LeMat-Bulk | PBE | optimized geometry" total_magnetization_mub_per_atom=0.5232 pbc="T T T"
Ta 0.000 0.000 0.000
Ni 2.185 2.185 2.185
Ru 0.000 2.185 2.185
Ru 2.185 0.000 2.185
Ru 2.185 2.185 0.000

---

no.,formation energy (kcal/mol of atoms),uncorrected energy (eV/atom)
1,1.30,-8.99
2,1.64,-9.62
3,27.79,-7.89